Entry 1:
Material: TaInCl2
Method: DFT, PBE
State: optimized geometry

Calculated values
**Formation energy without anion corrections**: -0.1623 eV/atom
**Space group**: P2/m (10)
**Offset from the most stable computed form**: 349.8 meV/atom

Unit cell a=4.4571 b=3.1642 c=5.7321 alpha=87.17 beta=90.00 gamma=90.00
Positions (direct):
Cl1 0.0000 0.8629 0.9772
Cl2 0.0000 0.6371 0.5228
Ta1 0.5000 0.7500 0.7500
In1 0.5000 0.2500 0.2500

Entry 2:
Material: TaInTc2Cl
Method: DFT, PBE
State: optimized geometry

Calculated values
**Formation energy without anion corrections**: 1.1309 eV/atom
**Space group**: P4/mmm (123)

Unit cell a=4.9211 b=4.6973 c=4.9211 alpha=90.00 beta=90.00 gamma=90.00
Each line ends with the local moment (μB).
Positions (direct):
Tc1 0.0000 0.0000 0.5000  1.20
Tc2 0.5000 0.0000 0.0000  1.35
Cl1 0.0000 0.5000 0.0000  0.03
Ta1 0.0000 0.0000 0.0000  -0.23
In1 0.5000 0.5000 0.5000  -0.03

Entry 3:
Material: Ta2TlInCl
Method: DFT, PBE
State: optimized geometry

Calculated values
**Formation energy without anion corrections**: 1.0753 eV/atom
**Space group**: P4/mmm (123)

Unit cell a=4.5831 b=4.5831 c=5.6494 alpha=90.00 beta=90.00 gamma=90.00
Each line ends with the local moment (μB).
Positions (direct):
Ta1 0.5000 0.0000 0.0000  0.11
Ta2 0.0000 0.5000 0.0000  0.11
In1 0.0000 0.0000 0.5000  0.01
Tl1 0.5000 0.5000 0.5000  0.01
Cl1 0.0000 0.0000 0.0000  0.00

Entry 4:
Material: TaTlInCl6
Method: DFT, PBE
State: optimized geometry

Calculated values
**Formation energy without anion corrections**: -1.1165 eV/atom
**Space group**: P-31c (163)

Unit cell a=7.5486 b=7.5486 c=12.1888 alpha=90.00 beta=90.00 gamma=120.00
Each line ends with the local moment (μB).
Positions (direct):
Cl1 0.0684 0.4055 0.6358  0.00
Cl2 0.3372 0.4055 0.8642  0.00
Cl3 0.9316 0.5945 0.3642  0.00
Cl4 0.4055 0.3372 0.3642  0.00
Cl5 0.0684 0.6628 0.8642  0.00
Cl6 0.9316 0.3372 0.1358  0.00
Cl7 0.4055 0.0684 0.1358  0.00
Cl8 0.3372 0.9316 0.6358  0.00
Cl9 0.5945 0.6628 0.6358  0.00
Cl10 0.5945 0.9316 0.8642  0.00
Cl11 0.6628 0.0684 0.3642  0.00
Cl12 0.6628 0.5945 0.1358  0.00
Ta1 0.3333 0.6667 0.7500  0.72
Ta2 0.6667 0.3333 0.2500  0.72
Tl1 0.0000 0.0000 0.0000  0.01
Tl2 0.0000 0.0000 0.5000  0.01
In1 0.3333 0.6667 0.2500  0.00
In2 0.6667 0.3333 0.7500  0.00

Entry 5:
Material: TbIn5Cl8
Method: DFT, PBE
State: optimized geometry

Calculated values
**Formation energy without anion corrections**: -1.2162 eV/atom
**Space group**: I-4 (82)

Unit cell a=8.1545 b=8.1545 c=8.1545 alpha=111.26 beta=111.26 gamma=105.95
Positions (direct):
Cl1 0.5508 0.8195 0.3887
Cl2 0.8379 0.4492 0.2686
Cl3 0.4308 0.1621 0.6113
Cl4 0.0524 0.7585 0.1490
Cl5 0.0966 0.9476 0.7061
Cl6 0.1805 0.5692 0.7313
Cl7 0.6095 0.9034 0.8510
Cl8 0.2415 0.3905 0.2939
In1 0.8522 0.2288 0.8344
In2 0.3944 0.0178 0.1656
In3 0.7712 0.6056 0.6234
In4 0.9822 0.1478 0.3766
In5 0.5000 0.5000 0.0000
Tb1 0.2500 0.7500 0.5000

Entry 6:
Material: TbInCl
Method: DFT, PBE
State: optimized geometry

Calculated values
**Formation energy without anion corrections**: -0.8645 eV/atom
**Space group**: P1 (1)

Unit cell a=3.7329 b=3.7072 c=15.1968 alpha=83.58 beta=71.70 gamma=60.24
Positions (direct):
Cl1 0.8834 0.0705 0.8333
Cl2 0.5769 0.3774 0.5901
In1 0.7677 0.5691 0.9628
In2 0.2991 0.6463 0.3062
Tb1 0.1998 0.2732 0.1380
Tb2 0.4108 0.0159 0.4693

Entry 7:
Material: TbInCl4
Method: DFT, PBE
State: optimized geometry

Calculated values
**Formation energy without anion corrections**: -1.7951 eV/atom
**Space group**: C2/c (15)

Unit cell a=6.6777 b=7.4087 c=8.8594 alpha=102.67 beta=112.11 gamma=89.99
Positions (direct):
Cl1 0.2495 0.6750 0.3874
Cl2 0.4943 0.0396 0.8000
Cl3 0.5057 0.9604 0.2000
Cl4 0.7505 0.3250 0.6126
Cl5 0.1381 0.1751 0.3875
Cl6 0.3051 0.5399 0.8002
Cl7 0.6949 0.4601 0.1998
Cl8 0.8619 0.8249 0.6125
Tb1 0.5000 0.0000 0.5000
Tb2 0.0000 0.5000 0.5000
In1 0.7393 0.7495 0.9999
In2 0.2607 0.2505 0.0001

Entry 8:
Material: TbIn4Cl6
Method: DFT, PBE
State: optimized geometry

Calculated values
**Formation energy without anion corrections**: -1.1624 eV/atom
**Space group**: P4/mnc (128)

Unit cell a=8.3886 b=8.3886 c=10.7864 alpha=90.00 beta=90.00 gamma=90.00
Positions (direct):
Cl1 0.7423 0.1851 0.5000
Cl2 0.1851 0.2577 0.5000
Cl3 0.5000 0.5000 0.2487
Cl4 0.2423 0.3149 0.0000
Cl5 0.6851 0.2423 0.0000
Cl6 0.5000 0.5000 0.7513
Cl7 0.8149 0.7423 0.5000
Cl8 0.3149 0.7577 0.0000
Cl9 0.2577 0.8149 0.5000
Cl10 0.0000 0.0000 0.7487
Cl11 0.7577 0.6851 0.0000
Cl12 0.0000 0.0000 0.2513
In1 0.1516 0.6516 0.7500
In2 0.1516 0.6516 0.2500
In3 0.6516 0.8484 0.7500
In4 0.6516 0.8484 0.2500
In5 0.3484 0.1516 0.2500
In6 0.8484 0.3484 0.7500
In7 0.3484 0.1516 0.7500
In8 0.8484 0.3484 0.2500
Tb1 0.5000 0.5000 0.0000
Tb2 0.0000 0.0000 0.5000

Entry 9:
Material: TbIn2Cl8
Method: DFT, PBE
State: optimized geometry

Calculated values
**Formation energy without anion corrections**: -1.3544 eV/atom
**Space group**: C2/m (12)

Unit cell a=6.8658 b=9.1958 c=9.1958 alpha=45.54 beta=93.51 gamma=93.51
Positions (direct):
In1 0.4482 0.1512 0.1512
In2 0.5518 0.8488 0.8488
Cl1 0.7470 0.1784 0.6866
Cl2 0.7470 0.6866 0.1784
Cl3 0.6145 0.7116 0.7116
Cl4 0.8143 0.1346 0.1346
Cl5 0.1857 0.8654 0.8654
Cl6 0.2530 0.8216 0.3134
Cl7 0.2530 0.3134 0.8216
Cl8 0.3855 0.2884 0.2884
Tb1 0.0000 0.0000 0.0000

Entry 10:
Material: Tb2InCl8
Method: DFT, PBE
State: optimized geometry

Calculated values
**Formation energy without anion corrections**: -1.8376 eV/atom
**Space group**: C2/m (12)

Unit cell a=6.9758 b=6.9833 c=6.9833 alpha=76.26 beta=79.40 gamma=79.40
Positions (direct):
Cl1 0.6826 0.3326 0.9502
Cl2 0.8296 0.8076 0.8076
Cl3 0.7437 0.4386 0.4386
Cl4 0.6826 0.9502 0.3326
Cl5 0.1704 0.1924 0.1924
Cl6 0.3174 0.0498 0.6674
Cl7 0.3174 0.6674 0.0498
Cl8 0.2563 0.5614 0.5614
In1 0.0000 0.0000 0.0000
Tb1 0.5504 0.6819 0.6819
Tb2 0.4496 0.3181 0.3181

Entry 11:
Material: TbTl2InCl6
Method: DFT, PBE
State: optimized geometry

Calculated values
**Formation energy without anion corrections**: -1.5079 eV/atom
**Space group**: R3 (146)

Unit cell a=7.8408 b=7.8399 c=8.0248 alpha=60.74 beta=60.75 gamma=59.98
Positions (direct):
Cl1 0.1976 0.9941 0.2470
Cl2 0.6589 0.1242 0.7812
Cl3 0.9941 0.5615 0.2467
Cl4 0.5613 0.1978 0.2468
Cl5 0.4358 0.6587 0.7810
Cl6 0.1245 0.4358 0.7810
Tl1 0.0231 0.0233 0.9306
Tl2 0.5328 0.5327 0.4020
In1 0.8118 0.8119 0.5641
Tb1 0.3217 0.3216 0.0349

Entry 12:
Material: TbVInCl6
Method: DFT, PBE
State: optimized geometry

Calculated values
**Formation energy without anion corrections**: -1.5851 eV/atom
**Space group**: P-31c (163)

Unit cell a=6.6626 b=6.6626 c=14.3168 alpha=90.00 beta=90.00 gamma=120.00
Each line ends with the local moment (μB).
Positions (direct):
Cl1 0.9803 0.3557 0.6472  -0.01
Cl2 0.3754 0.3557 0.8528  -0.01
Cl3 0.9803 0.6246 0.8528  -0.01
Cl4 0.0197 0.6443 0.3528  -0.01
Cl5 0.3557 0.3754 0.3528  -0.01
Cl6 0.6246 0.9803 0.3528  -0.01
Cl7 0.3557 0.9803 0.1472  -0.01
Cl8 0.3754 0.0197 0.6472  -0.01
Cl9 0.6443 0.0197 0.8528  -0.01
Cl10 0.0197 0.3754 0.1472  -0.01
Cl11 0.6246 0.6443 0.1472  -0.01
Cl12 0.6443 0.6246 0.6472  -0.01
Tb1 0.3333 0.6667 0.7500  0.02
Tb2 0.6667 0.3333 0.2500  0.02
V1 0.3333 0.6667 0.2500  2.57
V2 0.6667 0.3333 0.7500  2.57
In1 0.0000 0.0000 0.5000  0.01
In2 0.0000 0.0000 0.0000  0.01

Entry 13:
Material: InTcCl
Method: DFT, PBE
State: optimized geometry

Calculated values
**Formation energy without anion corrections**: 0.3197 eV/atom
**Space group**: Fmm2 (42)
**Offset from the most stable computed form**: 85.8 meV/atom

Unit cell a=8.2639 b=7.9467 c=3.0865 alpha=84.87 beta=73.29 gamma=21.84
Positions (direct):
In1 0.3117 0.3117 0.6883
Cl1 0.0355 0.0355 0.9645
Tc1 0.6528 0.6528 0.3472

Entry 14:
Material: In2TcCl
Method: DFT, PBE
State: optimized geometry

Calculated values
**Formation energy without anion corrections**: 0.1279 eV/atom
**Space group**: Cm (8)
**Offset from the most stable computed form**: 177.3 meV/atom

Unit cell a=5.5489 b=5.5489 c=5.1846 alpha=73.65 beta=73.65 gamma=32.60
Each line ends with the local moment (μB).
Positions (direct):
Tc1 0.5251 0.5251 0.5526  1.16
Cl1 0.1978 0.1978 0.2476  0.03
In1 0.9885 0.9885 0.0341  -0.01
In2 0.7886 0.7886 0.6656  -0.01

Entry 15:
Material: In2TcCl
Method: DFT, PBE
State: optimized geometry

Calculated values
**Formation energy without anion corrections**: 0.0576 eV/atom
**Space group**: P4/mmm (123)
**Offset from the most stable computed form**: 106.9 meV/atom

Unit cell a=3.2589 b=3.2589 c=7.8446 alpha=90.00 beta=90.00 gamma=90.00
Positions (direct):
In1 0.0000 0.0000 0.4566
In2 0.0000 0.0000 0.0434
Tc1 0.5000 0.5000 0.2500
Cl1 0.5000 0.5000 0.7500

Entry 16:
Material: In2TcCl
Method: DFT, PBE
State: optimized geometry

Calculated values
**Formation energy without anion corrections**: 0.1229 eV/atom
**Space group**: P4mm (99)
**Offset from the most stable computed form**: 172.2 meV/atom

Unit cell a=5.1874 b=2.9521 c=5.1874 alpha=89.99 beta=90.00 gamma=90.00
Each line ends with the local moment (μB).
Positions (direct):
In1 0.5000 0.1269 0.3751  0.00
In2 0.0000 0.1278 0.8750  0.00
Tc1 0.0000 0.6274 0.3749  0.14
Cl1 0.5000 0.6179 0.8750  0.01

Entry 17:
Material: In2TcCl
Method: DFT, PBE
State: optimized geometry

Calculated values
**Formation energy without anion corrections**: 0.2535 eV/atom
**Space group**: P4mm (99)
**Offset from the most stable computed form**: 302.9 meV/atom

Unit cell a=3.0879 b=3.0879 c=9.3180 alpha=90.00 beta=90.00 gamma=90.00
Each line ends with the local moment (μB).
Positions (direct):
Cl1 0.5000 0.5000 0.6770  0.10
In1 0.5000 0.5000 0.3017  -0.01
In2 0.0000 0.0000 0.0130  -0.01
Tc1 0.0000 0.0000 0.5083  1.58

Entry 18:
Material: In2TcCl
Method: DFT, PBE
State: optimized geometry

Calculated values
**Formation energy without anion corrections**: 0.4756 eV/atom
**Space group**: Pmmm (47)
**Offset from the most stable computed form**: 524.9 meV/atom

Unit cell a=3.1938 b=5.8903 c=4.9817 alpha=90.00 beta=90.00 gamma=90.00
Each line ends with the local moment (μB).
Positions (direct):
Tc1 0.5000 0.0000 0.5000  2.75
In1 0.5000 0.5000 0.0000  0.01
In2 0.0000 0.0000 0.0000  -0.07
Cl1 0.0000 0.5000 0.5000  0.09

Entry 19:
Material: InTcCl
Method: DFT, PBE
State: optimized geometry

Calculated values
**Formation energy without anion corrections**: 0.7555 eV/atom
**Space group**: F-43m (216)
**Offset from the most stable computed form**: 521.7 meV/atom

Unit cell a=4.6029 b=4.6029 c=4.6029 alpha=60.00 beta=60.00 gamma=60.00
Each line ends with the local moment (μB).
Positions (direct):
In1 0.5000 0.5000 0.5000  -0.03
Cl1 0.0000 0.0000 0.0000  0.08
Tc1 0.7500 0.7500 0.7500  2.14

Entry 20:
Material: In2TcCl
Method: DFT, PBE
State: optimized geometry

Calculated values
**Formation energy without anion corrections**: 0.6375 eV/atom
**Space group**: F-43m (216)
**Offset from the most stable computed form**: 686.8 meV/atom

Unit cell a=4.9277 b=4.9277 c=4.9277 alpha=60.00 beta=60.00 gamma=60.00
Each line ends with the local moment (μB).
Positions (direct):
Cl1 0.5000 0.5000 0.5000  0.03
Tc1 0.7500 0.7500 0.7500  1.81
In1 0.0000 0.0000 0.0000  -0.06
In2 0.2500 0.2500 0.2500  0.01

Entry 21:
Material: In2TcCl
Method: DFT, PBE
State: optimized geometry

Calculated values
**Formation energy without anion corrections**: 0.5235 eV/atom
**Space group**: I4/mmm (139)
**Offset from the most stable computed form**: 572.8 meV/atom

Unit cell a=5.4340 b=5.4340 c=5.4340 alpha=132.98 beta=132.98 gamma=68.68
Each line ends with the local moment (μB).
Positions (direct):
In1 0.5000 0.5000 0.0000  -0.04
In2 0.0000 0.0000 0.0000  -0.04
Tc1 0.2500 0.7500 0.5000  2.02
Cl1 0.7500 0.2500 0.5000  0.06

Entry 22:
Material: In2TcCl
Method: DFT, PBE
State: optimized geometry

Calculated values
**Formation energy without anion corrections**: 0.0624 eV/atom
**Space group**: R-3m (166)
**Offset from the most stable computed form**: 111.7 meV/atom

Unit cell a=8.8559 b=8.8559 c=8.8559 alpha=21.55 beta=21.55 gamma=21.55
Each line ends with the local moment (μB).
Positions (direct):
In1 0.5058 0.5058 0.5058  0.00
In2 0.9942 0.9942 0.9942  0.00
Tc1 0.2500 0.2500 0.2500  0.14
Cl1 0.7500 0.7500 0.7500  0.00

Entry 23:
Material: In2TcCl
Method: DFT, PBE
State: optimized geometry

Calculated values
**Formation energy without anion corrections**: -0.0494 eV/atom
**Space group**: P2/m (10)
**Offset from the most stable computed form**: 0.0 meV/atom

Unit cell a=3.2386 b=3.3186 c=7.9460 alpha=89.89 beta=90.00 gamma=90.00
Positions (direct):
Tc1 0.5000 0.2500 0.2500
In1 0.0000 0.7489 0.4517
In2 0.0000 0.7511 0.0483
Cl1 0.5000 0.7500 0.7500

Entry 24:
Material: InTcCl
Method: DFT, PBE
State: optimized geometry

Calculated values
**Formation energy without anion corrections**: 0.3808 eV/atom
**Space group**: I4mm (107)
**Offset from the most stable computed form**: 147.0 meV/atom

Unit cell a=6.5180 b=6.5180 c=6.5180 alpha=152.10 beta=152.10 gamma=39.87
Each line ends with the local moment (μB).
Positions (direct):
Cl1 0.0282 0.0282 0.0000  0.10
In1 0.3082 0.3082 0.0000  0.02
Tc1 0.6636 0.6636 0.0000  1.87

Entry 25:
Material: In3TcCl
Method: DFT, PBE
State: optimized geometry

Calculated values
**Formation energy without anion corrections**: 0.9670 eV/atom
**Space group**: Pm-3m (221)
**Offset from the most stable computed form**: 849.2 meV/atom

Unit cell a=5.4108 b=5.4108 c=5.4108 alpha=90.00 beta=90.00 gamma=90.00
Each line ends with the local moment (μB).
Positions (direct):
In1 0.0000 0.0000 0.5000  -0.01
In2 0.5000 0.0000 0.0000  -0.01
In3 0.0000 0.5000 0.0000  -0.05
Tc1 0.5000 0.5000 0.5000  3.30
Cl1 0.0000 0.0000 0.0000  0.00